No. 1
MnGe3F | the Alexandria database | PBE with a Hubbard U | relaxed; E_tot = -4.58 eV per atom; V = 96 Å³/f.u.; ΔE to the lowest computed polymorph = 0.00 eV/f.u.; Fermi-level density of states = 0.441 states/eV per atom; space group = Pm-3m (221)
1.0
4.5831 0.0000 0.0000
0.0000 4.5831 0.0000
0.0000 0.0000 4.5831
Mn Ge F
1 3 1
Direct
0.0000 0.0000 0.0000 Mn
0.0000 0.5000 0.5000 Ge
0.5000 0.0000 0.5000 Ge
0.5000 0.5000 0.0000 Ge
0.5000 0.5000 0.5000 F


No. 2
MnGeNF2 | the Alexandria database | PBE with a Hubbard U | relaxed; E_tot = -5.50 eV per atom; V = 67 Å³/f.u.; ΔE to the lowest computed polymorph = 0.43 eV/f.u.; Fermi-level density of states = 0.153 states/eV per atom; space group = P4/mmm (123)
1.0
4.1326 0.0000 0.0000
0.0000 4.1326 0.0000
0.0000 0.0000 3.9320
Mn Ge N F
1 1 1 2
Direct
0.0000 0.0000 0.0000 Mn
0.5000 0.5000 0.5000 Ge
0.5000 0.5000 0.0000 N
0.0000 0.5000 0.5000 F
0.5000 0.0000 0.5000 F


No. 3
MnGeNF2 | the Alexandria database | PBE with a Hubbard U | relaxed; E_tot = -5.59 eV per atom; V = 66 Å³/f.u.; ΔE to the lowest computed polymorph = 0.00 eV/f.u.; Fermi-level density of states = 0.254 states/eV per atom; space group = P4/mmm (123)
1.0
4.0067 0.0000 0.0000
0.0000 4.0067 0.0000
0.0000 0.0000 4.0825
Mn Ge N F
1 1 1 2
Direct
0.0000 0.0000 0.0000 Mn
0.5000 0.5000 0.5000 Ge
0.0000 0.0000 0.5000 N
0.0000 0.5000 0.0000 F
0.5000 0.0000 0.0000 F


No. 4
Na2MnGeF8 | the Alexandria database | PBE with a Hubbard U | relaxed; E_tot = -5.12 eV per atom; V = 168 Å³/f.u.; Fermi-level density of states = 0.000 states/eV per atom; space group = Cmmm (65)
1.0
3.4560 -3.6416 0.0000
3.4560 3.6416 0.0000
0.0000 0.0000 6.6672
Na Mn Ge F
2 1 1 8
Direct
0.0000 0.0000 0.2499 Na
0.0000 0.0000 0.7501 Na
0.5000 0.5000 0.0000 Mn
0.5000 0.5000 0.5000 Ge
0.2149 0.2149 0.0000 F
0.2371 0.2371 0.5000 F
0.3263 0.6737 0.2976 F
0.3263 0.6737 0.7024 F
0.6737 0.3263 0.2976 F
0.6737 0.3263 0.7024 F
0.7629 0.7629 0.5000 F
0.7851 0.7851 0.0000 F


No. 5
NaMnGe2F | the Alexandria database | PBE with a Hubbard U | relaxed; E_tot = -3.16 eV per atom; V = 138 Å³/f.u.; Fermi-level density of states = 0.712 states/eV per atom; space group = P4/mmm (123)
1.0
5.0025 0.0000 0.0000
0.0000 5.0025 0.0000
0.0000 0.0000 5.5084
Na Mn Ge F
1 1 2 1
Direct
0.0000 0.0000 0.0000 Na
0.0000 0.0000 0.5000 Mn
0.0000 0.5000 0.0000 Ge
0.5000 0.0000 0.0000 Ge
0.5000 0.5000 0.5000 F


No. 6
NaMnGeF5 | the Alexandria database | PBE with a Hubbard U | relaxed; E_tot = -5.29 eV per atom; V = 131 Å³/f.u.; Fermi-level density of states = 0.000 states/eV per atom; space group = C2/c (15)
1.0
4.0730 -4.3891 0.0000
4.0730 4.3891 0.0000
-3.6778 0.0000 7.3198
Na Mn Ge F
2 2 2 10
Direct
0.0521 0.9479 0.7500 Na
0.9479 0.0521 0.2500 Na
0.0000 0.5000 0.0000 Mn
0.5000 0.0000 0.5000 Mn
0.4457 0.5543 0.7500 Ge
0.5543 0.4457 0.2500 Ge
0.1930 0.6345 0.8515 F
0.2208 0.7792 0.2500 F
0.2254 0.2398 0.0209 F
0.2398 0.2254 0.5209 F
0.3655 0.8070 0.6485 F
0.6345 0.1930 0.3515 F
0.7602 0.7746 0.4791 F
0.7746 0.7602 0.9791 F
0.7792 0.2208 0.7500 F
0.8070 0.3655 0.1485 F


No. 7
MnGeO2F | the Alexandria database | PBE with a Hubbard U | relaxed; E_tot = -6.03 eV per atom; V = 61 Å³/f.u.; Fermi-level density of states = 0.133 states/eV per atom; space group = P4/mmm (123)
1.0
3.9053 0.0000 0.0000
0.0000 3.9053 0.0000
0.0000 0.0000 3.9743
Mn Ge O F
1 1 2 1
Direct
0.0000 0.0000 0.0000 Mn
0.5000 0.5000 0.5000 Ge
0.0000 0.5000 0.0000 O
0.5000 0.0000 0.0000 O
0.0000 0.0000 0.5000 F


No. 8
MnGeOF2 | the Alexandria database | PBE with a Hubbard U | relaxed; E_tot = -5.40 eV per atom; V = 74 Å³/f.u.; ΔE to the lowest computed polymorph = 1.26 eV/f.u.; Fermi-level density of states = 0.248 states/eV per atom; space group = P4/mmm (123)
1.0
4.3709 0.0000 0.0000
0.0000 4.3709 0.0000
0.0000 0.0000 3.8831
Mn Ge O F
1 1 1 2
Direct
0.0000 0.0000 0.0000 Mn
0.5000 0.5000 0.5000 Ge
0.5000 0.5000 0.0000 O
0.0000 0.5000 0.5000 F
0.5000 0.0000 0.5000 F


No. 9
MnGeO2F | the Alexandria database | PBE with a Hubbard U | relaxed; E_tot = -5.97 eV per atom; V = 62 Å³/f.u.; Fermi-level density of states = 0.223 states/eV per atom; space group = P4/mmm (123)
1.0
3.9173 0.0000 0.0000
0.0000 3.9173 0.0000
0.0000 0.0000 4.0587
Mn Ge O F
1 1 2 1
Direct
0.0000 0.0000 0.0000 Mn
0.5000 0.5000 0.5000 Ge
0.0000 0.5000 0.5000 O
0.5000 0.0000 0.5000 O
0.5000 0.5000 0.0000 F


No. 10
MnGeOF2 | the Alexandria database | PBE with a Hubbard U | relaxed; E_tot = -5.65 eV per atom; V = 68 Å³/f.u.; ΔE to the lowest computed polymorph = 0.00 eV/f.u.; Fermi-level density of states = 0.232 states/eV per atom; space group = P4/mmm (123)
1.0
4.1010 0.0000 0.0000
0.0000 4.1010 0.0000
0.0000 0.0000 4.0333
Mn Ge O F
1 1 1 2
Direct
0.0000 0.0000 0.0000 Mn
0.5000 0.5000 0.5000 Ge
0.0000 0.0000 0.5000 O
0.0000 0.5000 0.0000 F
0.5000 0.0000 0.0000 F


No. 11
MnGeO2F | the Alexandria database | PBE with a Hubbard U | relaxed; E_tot = -5.58 eV per atom; V = 71 Å³/f.u.; Fermi-level density of states = 0.227 states/eV per atom; space group = P4/mmm (123)
1.0
3.6229 0.0000 0.0000
0.0000 3.6229 0.0000
0.0000 0.0000 5.4182
Mn Ge O F
1 1 2 1
Direct
0.0000 0.0000 0.0000 Mn
0.0000 0.0000 0.5000 Ge
0.0000 0.5000 0.0000 O
0.5000 0.0000 0.0000 O
0.5000 0.5000 0.5000 F


No. 12
MnGe2PdF | the Alexandria database | PBE with a Hubbard U | relaxed; E_tot = -4.30 eV per atom; V = 108 Å³/f.u.; Fermi-level density of states = 0.585 states/eV per atom; space group = P4/mmm (123)
1.0
4.7264 0.0000 0.0000
0.0000 4.7264 0.0000
0.0000 0.0000 4.8144
Mn Ge Pd F
1 2 1 1
Direct
0.0000 0.0000 0.0000 Mn
0.0000 0.5000 0.0000 Ge
0.5000 0.0000 0.0000 Ge
0.0000 0.0000 0.5000 Pd
0.5000 0.5000 0.5000 F


> Which value of Fermi-level density of states does entry 1 give?

0.441 states/eV per atom